No. 1
Computed, not measured: a geometry-optimized KLiF3 structure at the GGA-PBE level of DFT.

The structure in CIF format:
```
data_KLiF3
_cell_length_a 4.371
_cell_length_b 4.371
_cell_length_c 8.347
_cell_angle_alpha 90.00
_cell_angle_beta 90.00
_cell_angle_gamma 120.00
_space_group_name_H-M_alt 'P 1'
_space_group_IT_number 1
loop_
_space_group_symop_operation_xyz
'x,y,z'
loop_
_atom_site_label
_atom_site_type_symbol
_atom_site_fract_x
_atom_site_fract_y
_atom_site_fract_z
K1 K 0.333 0.667 0.250
K2 K 0.667 0.333 0.750
Li1 Li 0.000 0.000 0.000
Li2 Li 0.000 0.000 0.500
F1 F 0.000 0.000 0.250
F2 F 0.000 0.000 0.750
F3 F 0.333 0.667 0.556
F4 F 0.333 0.667 0.944
F5 F 0.667 0.333 0.056
F6 F 0.667 0.333 0.444
```

Properties
Electronic total energy   -3.808 eV per atom
Raw formation energy   -2.0831 eV/atom
Space group   P6_3/mmc
Volume   138.12 Å³ per cell
Energy relative to the lowest polymorph listed for this composition   220.2 meV/atom

***

No. 2
Computed, not measured: a geometry-optimized BePW structure at the GGA-PBE level of DFT.

The structure in CIF format:
```
data_BePW
_cell_length_a 4.474
_cell_length_b 4.474
_cell_length_c 4.474
_cell_angle_alpha 140.18
_cell_angle_beta 140.18
_cell_angle_gamma 57.58
_space_group_name_H-M_alt 'P 1'
_space_group_IT_number 1
loop_
_space_group_symop_operation_xyz
'x,y,z'
loop_
_atom_site_label
_atom_site_type_symbol
_atom_site_fract_x
_atom_site_fract_y
_atom_site_fract_z
Be1 Be 0.000 0.000 0.000
P1 P 0.347 0.347 0.000
W1 W 0.678 0.678 0.000
```

Properties
Electronic total energy   -7.559 eV per atom
Space group   I4mm
Volume   36.41 Å³ per cell
Energy relative to the lowest polymorph listed for this composition   0.0 meV/atom
ΔH_f (0 K)   -0.196 eV/atom